The following is a DFT calculation (PBE-GGA) of a relaxed Na2CePb2 crystal.

Cell and atoms, written as POSCAR:
```
Na2CePb2
1.0
4.626 0.000 0.000
0.000 4.658 0.000
-2.313 0.000 14.235
Pb Na Ce
4 4 2
Cartesian
2.313 1.164 7.111
0.000 3.493 7.124
0.000 1.164 4.017
2.313 3.493 10.218
2.313 1.164 1.504
2.313 1.164 12.712
0.000 3.493 12.732
0.000 3.493 1.524
0.000 1.164 9.671
2.313 3.493 4.564
```

- ΔH_f (0 K): -0.15 eV/atom

---

The following is a DFT calculation (PBE-GGA) of a relaxed GaFe14Ir crystal.

Cell and atoms, written as POSCAR:
```
GaFe14Ir
1.0
5.000 0.179 0.000
-1.795 4.670 0.000
0.000 0.000 8.113
Fe Ga Ir
14 1 1
Cartesian
0.742 2.994 2.024
3.256 3.079 6.154
2.451 1.864 0.000
0.742 2.994 6.089
-0.049 1.775 4.056
3.256 3.079 1.959
4.164 0.732 2.025
4.164 0.732 6.088
1.649 0.647 1.959
-0.049 1.774 0.000
1.649 0.647 6.154
1.554 4.199 0.000
1.553 4.199 4.056
-0.946 4.109 0.000
-0.947 4.110 4.056
2.451 1.864 4.056
```

- ΔH_f (0 K): -0.02 eV/atom

---

The following is a DFT calculation (PBE-GGA) of a relaxed GaP2PbS crystal.

Cell and atoms, written as POSCAR:
```
GaP2PbS
1.0
6.495 0.000 0.000
0.000 6.495 0.000
0.000 0.000 6.939
Pb P S Ga
1 2 1 1
Cartesian
0.000 0.000 0.000
3.248 0.000 0.000
0.000 3.248 0.000
0.000 0.000 3.469
3.248 3.248 3.469
```

- E_form (uncorrected): 1.65 eV/atom
- ΔE to the lowest computed polymorph: 1.212 eV/atom

---

The following is a DFT calculation (PBE-GGA) of a relaxed B5C7 crystal.

Cell and atoms, written as POSCAR:
```
B5C7
1.0
4.262 -0.110 -1.378
2.594 3.339 -1.476
-0.041 -0.192 5.339
B C
5 7
Cartesian
3.203 2.767 -0.208
4.948 1.054 1.127
2.421 0.193 1.358
2.399 2.847 1.279
2.284 1.209 -0.021
4.248 -0.210 3.897
4.968 1.345 -1.557
4.504 2.020 2.581
2.716 -0.008 3.929
2.969 2.260 2.636
4.767 2.005 -0.180
2.276 0.926 2.792
```

- ΔH_f (0 K): 0.40 eV/atom
- ΔE to the lowest computed polymorph: 0.141 eV/atom

---

The following is a DFT calculation (PBE-GGA) of a relaxed HfTiTe4 crystal.

Cell and atoms, written as POSCAR:
```
HfTiTe4
1.0
8.056 0.000 0.000
0.000 7.903 0.000
-4.028 -3.952 5.627
Te Ti Hf
8 2 2
Cartesian
6.022 1.976 0.064
1.994 1.976 5.563
4.028 0.089 2.814
4.028 3.862 2.814
-1.994 1.976 5.563
0.000 0.089 2.812
2.034 1.976 0.064
0.000 3.862 2.812
4.028 3.952 0.000
4.028 0.000 0.000
2.014 -1.976 2.813
-2.014 -1.976 2.813
```

- E_form (uncorrected): -0.72 eV/atom

---

The following is a DFT calculation (PBE-GGA) of a relaxed LiZn3Cu6 crystal.

Cell and atoms, written as POSCAR:
```
LiZn3Cu6
1.0
-4.155 -0.751 0.581
1.512 -4.348 5.191
-1.303 9.125 2.474
Zn Cu Li
6 12 2
Cartesian
-3.294 3.362 4.232
-1.129 5.263 6.535
-0.651 0.665 4.014
-2.450 -1.209 4.364
-1.496 5.236 3.883
-2.816 -1.236 1.711
-2.718 1.180 5.529
-2.070 7.449 2.636
-3.884 5.635 2.948
-1.008 0.641 1.438
-1.227 2.847 2.718
-2.938 3.386 6.809
-0.061 -1.608 5.299
-0.895 2.985 5.266
-3.050 1.042 2.981
-1.875 -3.422 5.611
-0.419 -1.628 2.715
-3.527 5.655 5.531
-3.625 3.229 1.692
-0.320 0.797 6.555
```

- ΔH_f (0 K): -0.08 eV/atom
- ΔE to the lowest computed polymorph: 0.000 eV/atom

---

Copy entry 1 word for word.
The following is a DFT calculation (PBE-GGA) of a relaxed Na2CePb2 crystal.

Cell and atoms, written as POSCAR:
```
Na2CePb2
1.0
4.626 0.000 0.000
0.000 4.658 0.000
-2.313 0.000 14.235
Pb Na Ce
4 4 2
Cartesian
2.313 1.164 7.111
0.000 3.493 7.124
0.000 1.164 4.017
2.313 3.493 10.218
2.313 1.164 1.504
2.313 1.164 12.712
0.000 3.493 12.732
0.000 3.493 1.524
0.000 1.164 9.671
2.313 3.493 4.564
```

- ΔH_f (0 K): -0.15 eV/atom